Li8Ca3Au: relaxed, PBE.

The formation energy comes out at -0.065 eV/atom.

It has space group R3m (No. 160, hexagonal axes), with a = 5.8314 Å, b = 5.8314 Å, c = 28.5531 Å, α = 90.00°, β = 90.00° and γ = 120.00°. The inequivalent atoms are Li at (0.0000, 0.0000, 0.0000), Li at (0.0000, 0.0000, 0.4963), Li at (0.0049, 0.5025, 0.7435), Li at (0.0104, 0.5052, 0.2549), Ca at (0.0000, 0.0000, 0.1859), Ca at (0.0000, 0.0000, 0.3182), Ca at (0.0000, 0.0000, 0.7921) and Au at (0.0000, 0.0000, 0.6794).

Li2Ca2Au15: relaxed, PBE.

The formation energy comes out at -0.360 eV/atom.

It has space group R-3m (No. 166, hexagonal axes), with a = 9.5611 Å, b = 9.5611 Å, c = 14.4564 Å, α = 90.00°, β = 90.00° and γ = 120.00°. The inequivalent atoms are Li at (0.0000, 0.0000, 0.0973), Ca at (0.0000, 0.0000, 0.3490), Au at (0.0000, 0.3049, 0.0000), Au at (0.0000, 0.5000, 0.5000) and Au at (0.0042, 0.5021, 0.1520).

LiCa4Au2: relaxed, PBE.

The formation energy comes out at -0.499 eV/atom.

It has space group Cc (No. 9), with a = 9.083 Å, b = 15.755 Å, c = 7.241 Å, α = 90.00°, β = 128.24° and γ = 90.00°. The inequivalent atoms are Li at (0.000, 0.109, 0.000), Ca at (0.057, 0.278, 0.331), Ca at (0.319, 0.430, 0.839), Ca at (0.341, 0.012, 0.566), Ca at (0.401, 0.229, 0.192), Au at (0.149, 0.399, 0.083) and Au at (0.195, 0.146, 0.727).

LiCa6Au2: relaxed, PBE.

The formation energy comes out at -0.418 eV/atom.

It has space group Immm (No. 71), with a = 9.902 Å, b = 10.084 Å, c = 11.475 Å, α = 90.00°, β = 90.00° and γ = 90.00°. The inequivalent atoms are Li at (0.000, 0.000, 0.000), Li at (0.000, 0.000, 0.500), Ca at (0.000, 0.198, 0.245), Ca at (0.184, 0.500, 0.160), Ca at (0.208, 0.320, 0.500), Au at (0.000, 0.304, 0.000) and Au at (0.000, 0.500, 0.366).

Li2CaAu: relaxed, PBE.

The formation energy comes out at -0.449 eV/atom.

It has space group P2_1/m (No. 11), with a = 4.288 Å, b = 7.991 Å, c = 5.679 Å, α = 90.00°, β = 112.17° and γ = 90.00°. The inequivalent atoms are Li at (0.160, 0.058, 0.321), Ca at (0.443, 0.250, 0.886) and Au at (0.268, 0.750, 0.536).

Li2CaAu: relaxed, PBE.

The formation energy comes out at -0.373 eV/atom.

It has space group P4mm (No. 99), with a = 3.621 Å, b = 3.621 Å, c = 6.770 Å, α = 90.00°, β = 90.00° and γ = 90.00°. The inequivalent atoms are Li at (0.000, 0.000, 0.000), Li at (0.500, 0.500, 0.205), Ca at (0.000, 0.000, 0.557) and Au at (0.500, 0.500, 0.811).

Li5Ca2Au4: relaxed, PBE.

The formation energy comes out at -0.501 eV/atom.

It has space group Fmmm (No. 69), with a = 5.591 Å, b = 9.281 Å, c = 17.152 Å, α = 90.00°, β = 90.00° and γ = 90.00°. The inequivalent atoms are Li at (0.000, 0.000, 0.000), Li at (0.250, 0.250, 0.000), Li at (0.250, 0.250, 0.250), Ca at (0.000, 0.000, 0.365) and Au at (0.000, 0.160, 0.128).

Li2CaAu: relaxed, PBE.

The formation energy comes out at -0.329 eV/atom.

It has space group P2/m (No. 10), with a = 3.936 Å, b = 4.928 Å, c = 4.756 Å, α = 90.00°, β = 96.21° and γ = 90.00°. The inequivalent atoms are Li at (0.185, 0.000, 0.301), Ca at (0.500, 0.500, 0.000) and Au at (0.000, 0.500, 0.500).

LiCa4Au: relaxed, PBE.

The formation energy comes out at 0.339 eV/atom.

It has space group F-43m (No. 216), with a = 9.564 Å, b = 9.564 Å, c = 9.564 Å, α = 90.00°, β = 90.00° and γ = 90.00°. The inequivalent atoms are Li at (0.000, 0.000, 0.000), Ca at (0.125, 0.125, 0.375) and Au at (0.250, 0.250, 0.750).

Li2CaAu: relaxed, PBE.

The formation energy comes out at -0.446 eV/atom.

It has space group Pnma (No. 62), with a = 16.007 Å, b = 7.863 Å, c = 5.670 Å, α = 90.00°, β = 90.00° and γ = 90.00°. The inequivalent atoms are Li at (0.042, 0.061, 0.225), Li at (0.210, 0.557, 0.042), Ca at (0.108, 0.250, 0.742), Ca at (0.138, 0.750, 0.540), Au at (0.067, 0.750, 0.037) and Au at (0.186, 0.250, 0.253).

LiCa8Au2: relaxed, PBE.

The formation energy comes out at -0.315 eV/atom.

It has space group Cm (No. 8), with a = 9.444 Å, b = 13.840 Å, c = 5.926 Å, α = 90.00°, β = 104.30° and γ = 90.00°. The inequivalent atoms are Li at (0.000, 0.000, 0.000), Ca at (0.001, 0.246, 0.999), Ca at (0.117, 0.500, 0.799), Ca at (0.199, 0.132, 0.587), Ca at (0.302, 0.368, 0.411), Ca at (0.384, 0.000, 0.199) and Au at (0.001, 0.314, 0.499).

LiCaAu2: relaxed, PBE.

The formation energy comes out at -0.619 eV/atom.

It has space group P4/mmm (No. 123), with a = 4.746 Å, b = 4.746 Å, c = 3.690 Å, α = 90.00°, β = 90.00° and γ = 90.00°. The inequivalent atoms are Li at (0.000, 0.000, 0.000), Ca at (0.500, 0.500, 0.000) and Au at (0.000, 0.500, 0.500).

LiCa2Au4: relaxed, PBE.

The formation energy comes out at -0.582 eV/atom.

It has space group I4/mmm (No. 139), with a = 4.928 Å, b = 4.928 Å, c = 12.957 Å, α = 90.00°, β = 90.00° and γ = 90.00°. The inequivalent atoms are Li at (0.000, 0.000, 0.000), Ca at (0.000, 0.000, 0.259) and Au at (0.000, 0.500, 0.109).

LiCaAu11: relaxed, PBE.

The formation energy comes out at -0.262 eV/atom.

It has space group C2/m (No. 12), with a = 5.457 Å, b = 13.691 Å, c = 7.170 Å, α = 90.00°, β = 111.76° and γ = 90.00°. The inequivalent atoms are Li at (0.000, 0.000, 0.000), Ca at (0.000, 0.500, 0.500), Au at (0.000, 0.500, 0.000), Au at (0.096, 0.104, 0.719), Au at (0.184, 0.331, 0.856) and Au at (0.250, 0.250, 0.500).

Li2CaAu: relaxed, PBE.

The formation energy comes out at -0.371 eV/atom.

It has space group C2 (No. 5), with a = 6.953 Å, b = 7.021 Å, c = 4.786 Å, α = 90.00°, β = 132.76° and γ = 90.00°. The inequivalent atoms are Li at (0.000, 0.000, 0.000), Li at (0.000, 0.240, 0.500), Ca at (0.000, 0.512, 0.000) and Au at (0.000, 0.780, 0.500).

Li2CaAu4: relaxed, PBE.

The formation energy comes out at -0.597 eV/atom.

It has space group I4/mmm (No. 139), with a = 7.113 Å, b = 7.113 Å, c = 5.289 Å, α = 90.00°, β = 90.00° and γ = 90.00°. The inequivalent atoms are Li at (0.000, 0.500, 0.250), Ca at (0.000, 0.000, 0.000) and Au at (0.201, 0.201, 0.500).

Li12CaAu6: relaxed, PBE.

The formation energy comes out at -0.376 eV/atom.

It has space group R-3m (No. 166, hexagonal axes), with a = 11.5257 Å, b = 11.5257 Å, c = 9.3378 Å, α = 90.00°, β = 90.00° and γ = 120.00°. The inequivalent atoms are Li at (0.0000, 0.3879, 0.0000), Li at (0.0900, 0.1800, 0.8450), Ca at (0.0000, 0.0000, 0.5000) and Au at (0.0232, 0.5116, 0.7594).

Li3CaAu: relaxed, PBE.

The formation energy comes out at -0.308 eV/atom.

It has space group P1 (No. 1), with a = 4.838 Å, b = 5.243 Å, c = 5.291 Å, α = 110.20°, β = 90.32° and γ = 117.30°. The inequivalent atoms are Li at (0.000, 0.000, 0.000), Li at (0.182, 0.364, 0.651), Li at (0.677, 0.355, 0.981), Ca at (0.415, 0.830, 0.362) and Au at (0.762, 0.524, 0.519).

LiCaAu2: relaxed, PBE.

The formation energy comes out at -0.368 eV/atom.

It has space group I-42d (No. 122), with a = 4.984 Å, b = 4.984 Å, c = 16.508 Å, α = 90.00°, β = 90.00° and γ = 90.00°. The inequivalent atoms are Li at (0.000, 0.000, 0.000), Ca at (0.000, 0.000, 0.500) and Au at (0.129, 0.250, 0.125).

LiCa3Au8: relaxed, PBE.

The formation energy comes out at -0.555 eV/atom.

It has space group R3m (No. 160, hexagonal axes), with a = 5.6189 Å, b = 5.6189 Å, c = 28.0962 Å, α = 90.00°, β = 90.00° and γ = 120.00°. The inequivalent atoms are Li at (0.0000, 0.0000, 0.0000), Ca at (0.0000, 0.0000, 0.1232), Ca at (0.0000, 0.0000, 0.5102), Ca at (0.0000, 0.0000, 0.6386), Au at (0.0000, 0.0000, 0.3206), Au at (0.0000, 0.0000, 0.8203), Au at (0.9998, 0.4999, 0.5707) and Au at (0.0015, 0.5008, 0.0700).

Li8CaAu6: relaxed, PBE.

The formation energy comes out at -0.447 eV/atom.

It has space group R-3 (No. 148, hexagonal axes), with a = 8.0289 Å, b = 8.0289 Å, c = 15.9247 Å, α = 90.00°, β = 90.00° and γ = 120.00°. The inequivalent atoms are Li at (0.0000, 0.0000, 0.1634), Li at (0.0048, 0.6804, 0.7138), Ca at (0.0000, 0.0000, 0.5000) and Au at (0.0015, 0.3487, 0.4501).